No. 1
VASP calculation (PBE) on crystalline CuHg2P at its relaxed geometry.

D(E_F): 3.11 states/eV per cell
Raw total energy: -2.268 eV per atom
Energy of formation from the pure elements: 0.260 eV per atom
M_tot: 0.000 μB per formula unit

a = 10.0099 Å, b = 2.9331 Å, c = 6.1392 Å
α = 90.00°, β = 113.28°, γ = 90.00°
With the nearest neighbours (Å) after each atom.
Space group Cm (No. 8)
One atom of each set of equivalent atoms:
Cu 0.0000 0.0000 0.0000 (multiplicity 2)  2 P 2.31
Hg 0.0835 0.5000 0.4472 (multiplicity 2)  1 P 2.69, 2 Cu 2.93, 2 Hg 2.93
Hg 0.2575 0.5000 0.0988 (multiplicity 2)  3 Cu 2.72-2.82, 2 Hg 2.93
P 0.4081 0.0000 0.6850 (multiplicity 2)  2 Cu 2.31

=====

No. 2
VASP calculation (PBE) on crystalline CuHg2P at its relaxed geometry.

D(E_F): 5.40 states/eV per cell
Raw total energy: -2.355 eV per atom
Energy of formation from the pure elements: 0.172 eV per atom
M_tot: 0.000 μB per formula unit

a = 3.9135 Å, b = 3.9135 Å, c = 18.7118 Å
α = 90.00°, β = 90.00°, γ = 120.00°
With the nearest neighbours (Å) after each atom.
Space group R3m (No. 160, hexagonal axes)
One atom of each set of equivalent atoms:
Cu 0.0000 0.0000 0.0000 (multiplicity 3)  3 P 2.28
Hg 0.0000 0.0000 0.5441 (multiplicity 3)  3 P 3.01, 3 Hg 3.04, 3 Cu 3.22
Hg 0.0000 0.0000 0.7690 (multiplicity 3)  3 Cu 2.96, 3 Hg 3.04, 3 P 3.17
P 0.0000 0.0000 0.3171 (multiplicity 3)  3 Cu 2.28

=====

No. 3
VASP calculation (PBE) on crystalline CuHg2P at its relaxed geometry.

D(E_F): 3.58 states/eV per cell
Raw total energy: -2.051 eV per atom
Energy of formation from the pure elements: 0.477 eV per atom
M_tot: 0.000 μB per formula unit

a = 4.1280 Å, b = 4.1280 Å, c = 8.8257 Å
α = 90.00°, β = 90.00°, γ = 90.00°
With the nearest neighbours (Å) after each atom.
Space group I-4m2 (No. 119)
One atom of each set of equivalent atoms:
Cu 0.0000 0.0000 0.0000 (multiplicity 2)  8 Hg 2.92-3.02, 4 P 3.02
Hg 0.0000 0.0000 0.5000 (multiplicity 2)  4 Cu 2.92, 4 Hg 3.02, 4 P 3.02
Hg 0.0000 0.5000 0.7500 (multiplicity 2)  4 P 2.92, 4 Hg 3.02, 4 Cu 3.02
P 0.0000 0.5000 0.2500 (multiplicity 2)  8 Hg 2.92-3.02, 4 Cu 3.02

=====

No. 4
VASP calculation (PBE) on crystalline CuHg2P at its relaxed geometry.

D(E_F): 3.75 states/eV per cell
Raw total energy: -2.039 eV per atom
Energy of formation from the pure elements: 0.488 eV per atom
M_tot: 0.000 μB per formula unit

a = 4.2755 Å, b = 4.2755 Å, c = 8.2327 Å
α = 90.00°, β = 90.00°, γ = 90.00°
With the nearest neighbours (Å) after each atom.
Space group I4/mmm (No. 139)
One atom of each set of equivalent atoms:
Cu 0.0000 0.0000 0.0000 (multiplicity 2)  8 Hg 2.97, 4 P 3.02
Hg 0.0000 0.5000 0.2500 (multiplicity 4)  4 Cu 2.97, 4 P 2.97, 4 Hg 3.02
P 0.0000 0.0000 0.5000 (multiplicity 2)  8 Hg 2.97, 4 Cu 3.02

=====

no.,calculated volume (A^3/atom)
1,20.70
2,20.68
3,18.80
4,18.81